# 1
Computed, not measured: crystalline Pr2InSn4Pt3 at its relaxed geometry at the PBE level of DFT.

Properties
Total magnetic moment in μB per formula unit: 0.0
Energy of formation from the pure elements in meV/atom: -728
Total DFT energy (no corrections) in eV/atom: -5.371

a b c (Å): 4.5437 4.5437 11.4562
angles (deg): 90.00 90.00 90.00
Fractional coordinates of all 10 atoms:
Pr: 0.0000 0.5000 0.7545
Pr: 0.5000 0.0000 0.2455
Sn: 0.5000 0.5000 0.0000
Sn: 0.5000 0.0000 0.6466
Sn: 0.0000 0.0000 0.0000
Sn: 0.0000 0.5000 0.3534
Pt: 0.0000 0.0000 0.5000
Pt: 0.0000 0.5000 0.1270
Pt: 0.5000 0.0000 0.8730
In: 0.5000 0.5000 0.5000



# 2
Computed, not measured: crystalline Pr2InSnPt6 at its relaxed geometry at the PBE level of DFT.

Properties
Total magnetic moment in μB per formula unit: 0.0
Energy of formation from the pure elements in meV/atom: -91
Total DFT energy (no corrections) in eV/atom: -5.345

a b c (Å): 7.0388 7.0388 7.0388
angles (deg): 60.00 60.00 90.00
Fractional coordinates of all 10 atoms:
In: 0.5000 0.5000 0.0000
Pt: 0.7508 0.2492 0.0000
Pt: 0.2492 0.7508 0.0000
Pt: 0.2492 0.2492 0.0000
Pt: 0.2492 0.2492 0.5016
Pt: 0.7508 0.7508 0.4984
Pt: 0.7508 0.7508 0.0000
Sn: 0.0000 0.0000 0.0000
Pr: 0.2500 0.7500 0.5000
Pr: 0.7500 0.2500 0.5000



# 3
Computed, not measured: crystalline Pr2InSn3Pt4 at its relaxed geometry at the PBE level of DFT.

Properties
Total magnetic moment in μB per formula unit: 0.0
Energy of formation from the pure elements in meV/atom: -840
Total DFT energy (no corrections) in eV/atom: -5.687

a b c (Å): 4.6045 4.6045 10.7761
angles (deg): 90.00 90.00 90.00
Fractional coordinates of all 10 atoms:
Sn: 0.5000 0.0000 0.8734
Sn: 0.0000 0.0000 0.5000
Sn: 0.0000 0.5000 0.1266
Pr: 0.5000 0.0000 0.2428
Pr: 0.0000 0.5000 0.7572
Pt: 0.5000 0.5000 0.0000
Pt: 0.5000 0.0000 0.6332
Pt: 0.0000 0.5000 0.3668
Pt: 0.0000 0.0000 0.0000
In: 0.5000 0.5000 0.5000



# 4
Computed, not measured: crystalline PrTlInPt at its relaxed geometry at the PBE level of DFT.

Properties
Total magnetic moment in μB per formula unit: 0.0
Energy of formation from the pure elements in meV/atom: -489
Total DFT energy (no corrections) in eV/atom: -4.470

a b c (Å): 5.1408 5.1408 5.1408
angles (deg): 60.00 60.00 60.00
Fractional coordinates of all 4 atoms:
Pt: 0.7500 0.7500 0.7500
In: 0.5000 0.5000 0.5000
Pr: 0.0000 0.0000 0.0000
Tl: 0.2500 0.2500 0.2500



# 5
Computed, not measured: crystalline Pr2Zn4InPt3 at its relaxed geometry at the PBE level of DFT.

Properties
Total magnetic moment in μB per formula unit: 0.0
Energy of formation from the pure elements in meV/atom: -677
Total DFT energy (no corrections) in eV/atom: -4.228

a b c (Å): 4.1292 4.1292 11.7782
angles (deg): 90.00 90.00 90.00
Fractional coordinates of all 10 atoms:
Pr: 0.0000 0.5000 0.7632
Pr: 0.5000 0.0000 0.2368
In: 0.5000 0.5000 0.5000
Zn: 0.0000 0.5000 0.3543
Zn: 0.5000 0.5000 0.0000
Zn: 0.5000 0.0000 0.6457
Zn: 0.0000 0.0000 0.0000
Pt: 0.0000 0.5000 0.1379
Pt: 0.5000 0.0000 0.8621
Pt: 0.0000 0.0000 0.5000



# 6
Computed, not measured: crystalline Pr2PuIn at its relaxed geometry at the PBE level of DFT.

Properties
Polymorph energy (0 for the lowest one) in eV/atom: 0.0339
Total magnetic moment in μB per formula unit: 6.6
Energy of formation from the pure elements in meV/atom: -111
Total DFT energy (no corrections) in eV/atom: -6.768

a b c (Å): 3.7362 3.7362 8.8800
angles (deg): 90.00 90.00 90.00
Site moments in Bohr magnetons follow the coordinates.
Fractional coordinates of all 4 atoms:
In: 0.5000 0.5000 0.0000  -0.01
Pr: 0.0000 0.0000 0.2343  0.10
Pr: 0.0000 0.0000 0.7657  0.10
Pu: 0.5000 0.5000 0.5000  5.67



# 7
Computed, not measured: crystalline Pr3PuIn12 at its relaxed geometry at the PBE level of DFT.

Properties
Total magnetic moment in μB per formula unit: 5.5
Energy of formation from the pure elements in meV/atom: -408
Total DFT energy (no corrections) in eV/atom: -4.254

a b c (Å): 4.7120 4.7120 18.8934
angles (deg): 90.00 90.00 90.00
Site moments in Bohr magnetons follow the coordinates.
Fractional coordinates of all 16 atoms:
In: 0.5000 0.0000 0.8788  0.00
In: 0.5000 0.5000 0.5000  0.00
In: 0.5000 0.5000 0.2480  0.01
In: 0.5000 0.5000 0.0000  0.00
In: 0.0000 0.5000 0.6260  0.01
In: 0.5000 0.0000 0.6260  0.01
In: 0.0000 0.5000 0.3740  0.01
In: 0.0000 0.5000 0.8788  0.00
In: 0.5000 0.0000 0.3740  0.01
In: 0.5000 0.0000 0.1212  0.00
In: 0.0000 0.5000 0.1212  0.00
In: 0.5000 0.5000 0.7520  0.01
Pr: 0.0000 0.0000 0.5000  0.01
Pr: 0.0000 0.0000 0.2487  0.00
Pr: 0.0000 0.0000 0.7513  0.00
Pu: 0.0000 0.0000 0.0000  -5.34



# 8
Computed, not measured: crystalline Pr2PuIn at its relaxed geometry at the PBE level of DFT.

Properties
Polymorph energy (0 for the lowest one) in eV/atom: 0.1398
Total magnetic moment in μB per formula unit: 6.1
Energy of formation from the pure elements in meV/atom: -5
Total DFT energy (no corrections) in eV/atom: -6.662

a b c (Å): 3.6024 3.6024 11.3600
angles (deg): 80.88 80.88 60.00
Site moments in Bohr magnetons follow the coordinates.
Fractional coordinates of all 4 atoms:
Pr: 0.7481 0.7481 0.7556  0.00
Pr: 0.2519 0.2519 0.2444  0.00
In: 0.0000 0.0000 0.0000  -0.01
Pu: 0.5000 0.5000 0.5000  5.58



- Look up the energy of formation from the pure elements of the third one.
  -840 meV/atom



- What is the formula in the fourth record?
  PrTlInPt